[1]
TmGaGe2 | PBE | optimized geometry

The structure belongs to space group P4/mmm (No. 123); the cell edges are 4.2671, 4.2671 and 4.2814 Å and the angles 90.00°, 90.00° and 90.00°. Symmetry generates all atoms from Tm at (0.0000, 0.0000, 0.0000), Ga at (0.5000, 0.5000, 0.0000) and Ge at (0.0000, 0.5000, 0.5000).

The energy relative to the elements comes out at -0.43 eV/atom. As for the crystal system: tetragonal.

[2]
Tm2GaGe | PBE | optimized geometry

The structure belongs to space group P2_1/m (No. 11); the cell edges are 5.7256, 3.9510 and 8.3132 Å and the angles 90.00°, 107.82° and 90.00°. Symmetry generates all atoms from Tm at (0.2063, 0.2500, 0.4277), Tm at (0.2889, 0.7500, 0.0685), Ga at (0.3726, 0.7500, 0.7085) and Ge at (0.1305, 0.2500, 0.7917).

The energy relative to the elements comes out at -0.77 eV/atom. As for the crystal system: monoclinic.

[3]
Tm2Ga2Ge | PBE | optimized geometry

The structure belongs to space group C2/m (No. 12); the cell edges are 10.7393, 4.1801 and 10.2538 Å and the angles 90.00°, 113.80° and 90.00°. Symmetry generates all atoms from Tm at (0.0169, 0.0000, 0.1828), Tm at (0.1854, 0.0000, 0.6106), Ga at (0.0435, 0.5000, 0.3994), Ga at (0.1418, 0.5000, 0.0578) and Ge at (0.1954, 0.5000, 0.8196).

The energy relative to the elements comes out at -0.61 eV/atom. As for the crystal system: monoclinic.

[4]
Tm2Ga2Ge3 | PBE | optimized geometry

The structure belongs to space group I2_13 (No. 199); the cell edges are 8.4358, 8.4358 and 8.4358 Å and the angles 90.00°, 90.00° and 90.00°. Symmetry generates all atoms from Tm at (0.0099, 0.0099, 0.0099), Ga at (0.1853, 0.3147, 0.6853) and Ge at (0.0000, 0.2500, 0.2615).

The energy relative to the elements comes out at -0.38 eV/atom. As for the crystal system: cubic.

[5]
Tm8GaGe5 | PBE | optimized geometry

The structure belongs to space group I-4 (No. 82); the cell edges are 8.7253, 8.7253 and 8.7182 Å and the angles 90.00°, 90.00° and 90.00°. Symmetry generates all atoms from Tm at (0.0661, 0.1809, 0.1926), Tm at (0.0681, 0.3154, 0.5596), Ga at (0.0000, 0.5000, 0.2500), Ge at (0.0000, 0.0000, 0.5000) and Ge at (0.1262, 0.2506, 0.8763).

The energy relative to the elements comes out at -0.77 eV/atom. As for the crystal system: tetragonal.

[6]
Tm2GaGe | PBE | optimized geometry

The structure belongs to space group P4/mmm (No. 123); the cell edges are 4.7098, 4.7098 and 3.9292 Å and the angles 90.00°, 90.00° and 90.00°. Symmetry generates all atoms from Tm at (0.0000, 0.5000, 0.0000), Ga at (0.0000, 0.0000, 0.5000) and Ge at (0.5000, 0.5000, 0.5000).

The energy relative to the elements comes out at -0.59 eV/atom. As for the crystal system: tetragonal.

[7]
TmGaGe | PBE | optimized geometry

The structure belongs to space group I4mm (No. 107); the cell edges are 3.4372, 3.4372 and 10.4165 Å and the angles 90.00°, 90.00° and 90.00°. Symmetry generates all atoms from Tm at (0.0000, 0.0000, 0.0000), Ga at (0.0000, 0.0000, 0.3139) and Ge at (0.0000, 0.0000, 0.6884).

The energy relative to the elements comes out at -0.35 eV/atom. As for the crystal system: tetragonal.

[8]
Tm2Ga3Ge3 | PBE | optimized geometry

The structure belongs to space group Pmmm (No. 47); the cell edges are 4.2202, 4.3819 and 8.3567 Å and the angles 90.00°, 90.00° and 90.00°. Symmetry generates all atoms from Tm at (0.0000, 0.0000, 0.2480), Ga at (0.0000, 0.5000, 0.5000), Ga at (0.5000, 0.5000, 0.2570), Ge at (0.0000, 0.5000, 0.0000), Ge at (0.5000, 0.0000, 0.0000) and Ge at (0.5000, 0.0000, 0.5000).

The energy relative to the elements comes out at -0.45 eV/atom. As for the crystal system: orthorhombic.

[9]
TmGaGe | PBE | optimized geometry

The structure belongs to space group P3m1 (No. 156); the cell edges are 4.1067, 4.1067 and 4.2734 Å and the angles 90.00°, 90.00° and 120.00°. Symmetry generates all atoms from Tm at (0.0000, 0.0000, 0.0000), Ga at (0.3333, 0.6667, 0.6006) and Ge at (0.6667, 0.3333, 0.4059).

The energy relative to the elements comes out at -0.57 eV/atom. As for the crystal system: trigonal.

[10]
Tm4GaGe | PBE | optimized geometry

The structure belongs to space group P2_1/m (No. 11); the cell edges are 5.6490, 8.5119 and 7.1411 Å and the angles 90.00°, 101.60° and 90.00°. Symmetry generates all atoms from Tm at (0.0054, 0.0578, 0.2462), Tm at (0.4066, 0.7500, 0.4960), Tm at (0.4374, 0.2500, 0.9838), Ga at (0.1265, 0.2500, 0.5930) and Ge at (0.0880, 0.7500, 0.0954).

The energy relative to the elements comes out at -0.29 eV/atom. As for the crystal system: monoclinic.

[11]
Tm3Ga2Ge2 | PBE | optimized geometry

The structure belongs to space group C2/m (No. 12); the cell edges are 10.5672, 4.2130 and 7.2617 Å and the angles 90.00°, 111.94° and 90.00°. Symmetry generates all atoms from Tm at (0.0000, 0.0000, 0.0000), Tm at (0.1738, 0.0000, 0.6276), Ga at (0.1910, 0.5000, 0.9277) and Ge at (0.0424, 0.5000, 0.3387).

The energy relative to the elements comes out at -0.69 eV/atom. As for the crystal system: monoclinic.

[12]
TmGa4Ge | PBE | optimized geometry

The structure belongs to space group F-43m (No. 216); the cell edges are 7.7146, 7.7146 and 7.7146 Å and the angles 90.00°, 90.00° and 90.00°. Symmetry generates all atoms from Tm at (0.0000, 0.0000, 0.0000), Ga at (0.1247, 0.1247, 0.3753) and Ge at (0.2500, 0.2500, 0.7500).

The energy relative to the elements comes out at -0.17 eV/atom. As for the crystal system: cubic.

[13]
Tm8Ga3Ge2 | PBE | optimized geometry

The structure belongs to space group C2/m (No. 12); the cell edges are 16.3763, 7.5000 and 5.8730 Å and the angles 90.00°, 107.12° and 90.00°. Symmetry generates all atoms from Tm at (0.0981, 0.0000, 0.4820), Tm at (0.1238, 0.2510, 0.9983), Tm at (0.1886, 0.5000, 0.5719), Ga at (0.0000, 0.0000, 0.0000), Ga at (0.0000, 0.3308, 0.5000) and Ge at (0.2433, 0.0000, 0.8743).

The energy relative to the elements comes out at -0.36 eV/atom. As for the crystal system: monoclinic.

[14]
Tm4GaGe3 | PBE | optimized geometry

The structure belongs to space group Pmm2 (No. 25); the cell edges are 3.9317, 4.2340 and 10.6267 Å and the angles 90.00°, 90.00° and 90.00°. Symmetry generates all atoms from Tm at (0.0000, 0.0000, 0.0000), Tm at (0.0000, 0.5000, 0.4994), Tm at (0.5000, 0.0000, 0.7212), Tm at (0.5000, 0.5000, 0.2214), Ga at (0.0000, 0.5000, 0.7788), Ge at (0.0000, 0.0000, 0.2739), Ge at (0.5000, 0.0000, 0.4459) and Ge at (0.5000, 0.5000, 0.9430).

The energy relative to the elements comes out at -0.81 eV/atom. As for the crystal system: orthorhombic.

[15]
TmGa6Ge | PBE | optimized geometry

The structure belongs to space group P4/mmm (No. 123); the cell edges are 6.1755, 6.1755 and 3.9969 Å and the angles 90.00°, 90.00° and 90.00°. Symmetry generates all atoms from Tm at (0.0000, 0.0000, 0.0000), Ga at (0.0000, 0.5000, 0.0000), Ga at (0.2608, 0.2608, 0.5000) and Ge at (0.5000, 0.5000, 0.0000).

The energy relative to the elements comes out at -0.16 eV/atom. As for the crystal system: tetragonal.

[16]
Tm3GaGe | PBE | optimized geometry

The structure belongs to space group C2/m (No. 12); the cell edges are 15.0880, 3.9834 and 8.1435 Å and the angles 90.00°, 92.87° and 90.00°. Symmetry generates all atoms from Tm at (0.0489, 0.0000, 0.1880), Tm at (0.0974, 0.5000, 0.5793), Tm at (0.2375, 0.0000, 0.8208), Ga at (0.2052, 0.0000, 0.4289) and Ge at (0.1077, 0.5000, 0.9373).

The energy relative to the elements comes out at -0.53 eV/atom. As for the crystal system: monoclinic.

[17]
TmGa6Ge | PBE | optimized geometry

The structure belongs to space group C2/m (No. 12); the cell edges are 8.2396, 7.9000 and 5.3493 Å and the angles 90.00°, 91.70° and 90.00°. Symmetry generates all atoms from Tm at (0.0000, 0.0000, 0.0000), Ga at (0.1586, 0.0000, 0.5099), Ga at (0.1932, 0.2809, 0.7711) and Ge at (0.0000, 0.5000, 0.5000).

The energy relative to the elements comes out at -0.06 eV/atom. As for the crystal system: monoclinic.

[18]
Tm4Ga3Ge | PBE | optimized geometry

The structure belongs to space group Pmm2 (No. 25); the cell edges are 3.9642, 4.2924 and 10.6607 Å and the angles 90.00°, 90.00° and 90.00°. Symmetry generates all atoms from Tm at (0.0000, 0.0000, 0.0000), Tm at (0.0000, 0.5000, 0.4991), Tm at (0.5000, 0.0000, 0.2778), Tm at (0.5000, 0.5000, 0.7787), Ga at (0.0000, 0.0000, 0.7198), Ga at (0.0000, 0.5000, 0.2186), Ga at (0.5000, 0.0000, 0.5602) and Ge at (0.5000, 0.5000, 0.0578).

The energy relative to the elements comes out at -0.70 eV/atom. As for the crystal system: orthorhombic.

[19]
Tm3Ga2Ge | PBE | optimized geometry

The structure belongs to space group Pnma (No. 62); the cell edges are 11.7225, 4.0472 and 11.6712 Å and the angles 90.00°, 90.00° and 90.00°. Symmetry generates all atoms from Tm at (0.0561, 0.2500, 0.1220), Tm at (0.1192, 0.7500, 0.5554), Tm at (0.2124, 0.2500, 0.7914), Ga at (0.0093, 0.7500, 0.3066), Ga at (0.1862, 0.7500, 0.9999) and Ge at (0.1314, 0.2500, 0.3706).

The energy relative to the elements comes out at -0.61 eV/atom. As for the crystal system: orthorhombic.

[20]
Tm2GaGe3 | PBE | optimized geometry

The structure belongs to space group Cmcm (No. 63); the cell edges are 12.4162, 8.4802 and 5.1052 Å and the angles 90.00°, 90.00° and 90.00°. Symmetry generates all atoms from Tm at (0.1451, 0.1859, 0.2500), Ga at (0.0000, 0.3690, 0.7500), Ge at (0.0000, 0.0788, 0.7500) and Ge at (0.1751, 0.5000, 0.0000).

The energy relative to the elements comes out at -0.34 eV/atom. As for the crystal system: orthorhombic.

Q: Which calculated volume values were calculated for the entries above? A: 19.5, 22.4, 21.1, 21.4, 23.7, 21.8, 20.5, 19.3, 20.8, 28.0, 21.4, 19.1, 26.5, 22.1, 19.1, 24.4, 21.8, 22.7, 23.1, 22.4, in A^3/atom.